## PrGa2Au6 (GGA-PBE)

Data for PrGa2Au6 after structural relaxation.

Values from the calculation:
Energy relative to the elements   -2.583 eV/f.u.
Space-group type   P6/mmm
Magnetic moment   0.00 Bohr magnetons per cell
Density of states at the Fermi level   2.020 states/eV/f.u.
Calculated density   11927 kg/m3

```
data_PrGa2Au6
_space_group_name_H-M_alt 'P 1'
_space_group_IT_number 1
_cell_length_a 5.696
_cell_length_b 5.696
_cell_length_c 7.246
_cell_angle_alpha 90.00
_cell_angle_beta 90.00
_cell_angle_gamma 120.00
loop_
_space_group_symop_operation_xyz
'x,y,z'
loop_
_atom_site_label
_atom_site_fract_x
_atom_site_fract_y
_atom_site_fract_z
Ga1 0.333 0.667 0.500
Pr1 0.000 0.000 0.000
Ga2 0.667 0.333 0.500
Au1 0.500 0.000 0.795
Au2 0.500 0.500 0.795
Au3 0.000 0.500 0.795
Au4 0.500 0.500 0.205
Au5 0.000 0.500 0.205
Au6 0.500 0.000 0.205
```

## HfMoSeCl2 (GGA-PBE)

Data for HfMoSeCl2 after structural relaxation.

Values from the calculation:
Space-group type   P4/mmm
Magnetic moment   0.00 Bohr magnetons per cell
Density of states at the Fermi level   3.066 states/eV/f.u.
Energy relative to the elements, uncorrected   0.01 eV/atom
Calculated density   6154 kg/m3

```
data_HfMoSeCl2
_space_group_name_H-M_alt 'P 1'
_space_group_IT_number 1
_cell_length_a 4.498
_cell_length_b 5.660
_cell_length_c 4.498
_cell_angle_alpha 90.00
_cell_angle_beta 90.00
_cell_angle_gamma 90.00
loop_
_space_group_symop_operation_xyz
'x,y,z'
loop_
_atom_site_label
_atom_site_fract_x
_atom_site_fract_y
_atom_site_fract_z
Mo1 0.000 0.000 0.000
Cl1 0.500 0.000 0.000
Se1 0.500 0.500 0.500
Hf1 0.000 0.500 0.000
Cl2 0.000 0.000 0.500
```

## CaCoPS2 (GGA-PBE)

Data for CaCoPS2 after structural relaxation.

Values from the calculation:
Space-group type   P4/mmm
Magnetic moment   2.53 Bohr magnetons per cell
Density of states at the Fermi level   7.372 states/eV/f.u.
Energy relative to the elements, uncorrected   1.04 eV/atom
Calculated density   2366 kg/m3

```
data_CaCoPS2
_space_group_name_H-M_alt 'P 1'
_space_group_IT_number 1
_cell_length_a 5.123
_cell_length_b 5.123
_cell_length_c 5.191
_cell_angle_alpha 90.00
_cell_angle_beta 90.00
_cell_angle_gamma 90.00
loop_
_space_group_symop_operation_xyz
'x,y,z'
loop_
_atom_site_label
_atom_site_fract_x
_atom_site_fract_y
_atom_site_fract_z
S1 0.000 0.500 0.000
P1 0.000 0.000 0.500
S2 0.500 0.000 0.000
Co1 0.500 0.500 0.500
Ca1 0.000 0.000 0.000
```

## SbMoP (GGA-PBE)

Data for SbMoP after structural relaxation.

Values from the calculation:
Space-group type   P3m1
Magnetic moment   0.00 Bohr magnetons per cell
Density of states at the Fermi level   1.183 states/eV/f.u.
Energy relative to the elements, uncorrected   -0.07 eV/atom
Calculated density   7397 kg/m3

```
data_SbMoP
_space_group_name_H-M_alt 'P 1'
_space_group_IT_number 1
_cell_length_a 3.322
_cell_length_b 3.322
_cell_length_c 5.839
_cell_angle_alpha 90.00
_cell_angle_beta 90.00
_cell_angle_gamma 120.00
loop_
_space_group_symop_operation_xyz
'x,y,z'
loop_
_atom_site_label
_atom_site_fract_x
_atom_site_fract_y
_atom_site_fract_z
P1 0.667 0.333 0.287
Mo1 0.000 0.000 0.031
Sb1 0.333 0.667 0.682
```

## BaZnAsPt2 (GGA-PBE)

Data for BaZnAsPt2 after structural relaxation.

Values from the calculation:
Energy relative to the elements   7.584 eV/f.u.
Space-group type   P4/mmm
Magnetic moment   0.00 Bohr magnetons per cell
Density of states at the Fermi level   5.105 states/eV/f.u.
Calculated density   6645 kg/m3

```
data_BaZnAsPt2
_space_group_name_H-M_alt 'P 1'
_space_group_IT_number 1
_cell_length_a 5.435
_cell_length_b 5.651
_cell_length_c 5.435
_cell_angle_alpha 90.00
_cell_angle_beta 90.00
_cell_angle_gamma 90.00
loop_
_space_group_symop_operation_xyz
'x,y,z'
loop_
_atom_site_label
_atom_site_fract_x
_atom_site_fract_y
_atom_site_fract_z
As1 0.500 0.500 0.500
Pt1 0.000 0.000 0.500
Pt2 0.500 0.000 0.000
Ba1 0.000 0.000 0.000
Zn1 0.000 0.500 0.000
```

## RbMgPb (GGA-PBE)

Data for RbMgPb after structural relaxation.

Values from the calculation:
Energy relative to the elements   -0.265 eV/f.u.
Space-group type   P-1
Magnetic moment   0.00 Bohr magnetons per cell
Density of states at the Fermi level   1.315 states/eV/f.u.
Calculated density   3856 kg/m3

```
data_RbMgPb
_space_group_name_H-M_alt 'P 1'
_space_group_IT_number 1
_cell_length_a 5.113
_cell_length_b 5.293
_cell_length_c 11.780
_cell_angle_alpha 82.61
_cell_angle_beta 77.86
_cell_angle_gamma 61.20
loop_
_space_group_symop_operation_xyz
'x,y,z'
loop_
_atom_site_label
_atom_site_fract_x
_atom_site_fract_y
_atom_site_fract_z
Rb1 0.748 0.198 0.815
Pb1 0.505 0.866 0.629
Mg1 0.806 0.465 0.422
Pb2 0.495 0.134 0.371
Mg2 0.194 0.535 0.578
Rb2 0.252 0.802 0.185
```

## Pm6Y3Er2Th (GGA-PBE)

Data for Pm6Y3Er2Th after structural relaxation.

Values from the calculation:
Energy relative to the elements   0.351 eV/f.u.
Space-group type   C2/m
Magnetic moment   0.00 Bohr magnetons per cell
Density of states at the Fermi level   16.670 states/eV/f.u.
Calculated density   7137 kg/m3

```
data_Pm6Y3Er2Th
_space_group_name_H-M_alt 'P 1'
_space_group_IT_number 1
_cell_length_a 6.239
_cell_length_b 6.239
_cell_length_c 11.933
_cell_angle_alpha 95.02
_cell_angle_beta 95.02
_cell_angle_gamma 119.97
loop_
_space_group_symop_operation_xyz
'x,y,z'
loop_
_atom_site_label
_atom_site_fract_x
_atom_site_fract_y
_atom_site_fract_z
Y1 0.500 0.500 0.500
Pm1 0.413 0.083 0.248
Pm2 0.083 0.413 0.248
Pm3 0.587 0.917 0.752
Th1 0.000 0.000 0.000
Y2 0.833 0.167 0.500
Er1 0.333 0.667 0.000
Er2 0.667 0.333 0.000
Pm4 0.917 0.587 0.752
Y3 0.167 0.833 0.500
Pm5 0.753 0.753 0.248
Pm6 0.247 0.247 0.752
```

## Nd8Tm4Sc (GGA-PBE)

Data for Nd8Tm4Sc after structural relaxation.

Values from the calculation:
Energy relative to the elements   2.325 eV/f.u.
Space-group type   R-3m
Magnetic moment   0.00 Bohr magnetons per cell
Density of states at the Fermi level   15.137 states/eV/f.u.
Calculated density   7210 kg/m3

```
data_Nd8Tm4Sc
_space_group_name_H-M_alt 'P 1'
_space_group_IT_number 1
_cell_length_a 7.218
_cell_length_b 7.218
_cell_length_c 10.437
_cell_angle_alpha 90.00
_cell_angle_beta 110.23
_cell_angle_gamma 120.00
loop_
_space_group_symop_operation_xyz
'x,y,z'
loop_
_atom_site_label
_atom_site_fract_x
_atom_site_fract_y
_atom_site_fract_z
Tm1 0.500 0.000 0.000
Nd1 0.496 0.748 0.707
Nd2 0.427 0.214 0.641
Sc1 0.000 0.500 0.500
Nd3 0.959 0.748 0.707
Nd4 0.504 0.252 0.293
Tm2 0.500 0.500 0.000
Nd5 0.959 0.211 0.707
Tm3 0.000 0.000 0.000
Nd6 0.041 0.252 0.293
Nd7 0.573 0.786 0.359
Tm4 0.000 0.500 0.000
Nd8 0.041 0.789 0.293
```

## NdFe2Ge2 (GGA-PBE)

Data for NdFe2Ge2 after structural relaxation.

Values from the calculation:
Energy relative to the elements   -2.181 eV/f.u.
Space-group type   I4/mmm
Magnetic moment   4.66 Bohr magnetons per cell
Density of states at the Fermi level   3.734 states/eV/f.u.
Calculated density   7624 kg/m3

```
data_NdFe2Ge2
_space_group_name_H-M_alt 'P 1'
_space_group_IT_number 1
_cell_length_a 6.099
_cell_length_b 6.099
_cell_length_c 6.099
_cell_angle_alpha 141.47
_cell_angle_beta 141.47
_cell_angle_gamma 55.63
loop_
_space_group_symop_operation_xyz
'x,y,z'
loop_
_atom_site_label
_atom_site_fract_x
_atom_site_fract_y
_atom_site_fract_z
Fe1 0.750 0.250 0.500
Ge1 0.379 0.379 0.000
Ge2 0.621 0.621 0.000
Nd1 0.000 0.000 0.000
Fe2 0.250 0.750 0.500
```

## LaDyRu (GGA-PBE)

Data for LaDyRu after structural relaxation.

Values from the calculation:
Energy relative to the elements   -0.747 eV/f.u.
Space-group type   I4mm
Magnetic moment   0.00 Bohr magnetons per cell
Density of states at the Fermi level   2.010 states/eV/f.u.
Calculated density   8218 kg/m3

```
data_LaDyRu
_space_group_name_H-M_alt 'P 1'
_space_group_IT_number 1
_cell_length_a 3.463
_cell_length_b 3.463
_cell_length_c 7.209
_cell_angle_alpha 103.90
_cell_angle_beta 103.90
_cell_angle_gamma 90.00
loop_
_space_group_symop_operation_xyz
'x,y,z'
loop_
_atom_site_label
_atom_site_fract_x
_atom_site_fract_y
_atom_site_fract_z
Dy1 0.289 0.289 0.578
Ru1 0.672 0.672 0.343
La1 0.040 0.040 0.079
```

## Li2DyHoTe4 (GGA-PBE)

Data for Li2DyHoTe4 after structural relaxation.

Values from the calculation:
Space-group type   P2/m
Magnetic moment   0.00 Bohr magnetons per cell
Energy relative to the elements, uncorrected   -1.29 eV/atom
Calculated density   6156 kg/m3

```
data_Li2DyHoTe4
_space_group_name_H-M_alt 'P 1'
_space_group_IT_number 1
_cell_length_a 4.337
_cell_length_b 7.505
_cell_length_c 7.487
_cell_angle_alpha 109.50
_cell_angle_beta 90.00
_cell_angle_gamma 90.00
loop_
_space_group_symop_operation_xyz
'x,y,z'
loop_
_atom_site_label
_atom_site_fract_x
_atom_site_fract_y
_atom_site_fract_z
Te1 0.000 0.249 0.745
Ho1 0.500 0.500 0.000
Li1 0.500 0.000 0.500
Li2 0.000 0.500 0.500
Te2 0.500 0.252 0.255
Dy1 0.000 0.000 0.000
Te3 0.500 0.748 0.745
Te4 0.000 0.751 0.255
```

## FeTc2Br (GGA-PBE)

Data for FeTc2Br after structural relaxation.

Values from the calculation:
Space-group type   Cmmm
Magnetic moment   3.04 Bohr magnetons per cell
Density of states at the Fermi level   4.420 states/eV/f.u.
Energy relative to the elements, uncorrected   0.82 eV/atom
Calculated density   8785 kg/m3

```
data_FeTc2Br
_space_group_name_H-M_alt 'P 1'
_space_group_IT_number 1
_cell_length_a 2.791
_cell_length_b 2.791
_cell_length_c 8.932
_cell_angle_alpha 90.00
_cell_angle_beta 90.00
_cell_angle_gamma 115.72
loop_
_space_group_symop_operation_xyz
'x,y,z'
loop_
_atom_site_label
_atom_site_fract_x
_atom_site_fract_y
_atom_site_fract_z
Fe1 0.500 0.500 0.750
Tc1 0.000 0.000 0.522
Br1 0.500 0.500 0.250
Tc2 0.000 0.000 0.978
```

## Pm3Nd4Sc2 (GGA-PBE)

Data for Pm3Nd4Sc2 after structural relaxation.

Values from the calculation:
Energy relative to the elements   0.953 eV/f.u.
Space-group type   P3m1
Magnetic moment   0.00 Bohr magnetons per cell
Density of states at the Fermi level   16.688 states/eV/f.u.
Calculated density   6197 kg/m3

```
data_Pm3Nd4Sc2
_space_group_name_H-M_alt 'P 1'
_space_group_IT_number 1
_cell_length_a 3.580
_cell_length_b 3.580
_cell_length_c 26.601
_cell_angle_alpha 90.00
_cell_angle_beta 90.00
_cell_angle_gamma 120.00
loop_
_space_group_symop_operation_xyz
'x,y,z'
loop_
_atom_site_label
_atom_site_fract_x
_atom_site_fract_y
_atom_site_fract_z
Nd1 0.000 0.000 0.776
Sc1 0.667 0.333 0.083
Sc2 0.667 0.333 0.878
Pm1 0.667 0.333 0.660
Nd2 0.000 0.000 0.546
Pm2 0.000 0.000 0.982
Nd3 0.667 0.333 0.431
Pm3 0.000 0.000 0.315
Nd4 0.667 0.333 0.205
```

## Sr2Cl (GGA-PBE)

Data for Sr2Cl after structural relaxation.

Values from the calculation:
Space-group type   Cmcm
Magnetic moment   0.00 Bohr magnetons per cell
Density of states at the Fermi level   2.996 states/eV/f.u.
Energy relative to the elements, uncorrected   -1.10 eV/atom
Calculated density   2970 kg/m3

```
data_Sr2Cl
_space_group_name_H-M_alt 'P 1'
_space_group_IT_number 1
_cell_length_a 8.754
_cell_length_b 8.754
_cell_length_c 6.691
_cell_angle_alpha 90.00
_cell_angle_beta 90.00
_cell_angle_gamma 152.65
loop_
_space_group_symop_operation_xyz
'x,y,z'
loop_
_atom_site_label
_atom_site_fract_x
_atom_site_fract_y
_atom_site_fract_z
Sr1 0.440 0.560 0.750
Cl1 0.792 0.208 0.750
Sr2 0.847 0.153 0.250
Cl2 0.208 0.792 0.250
Sr3 0.560 0.440 0.250
Sr4 0.153 0.847 0.750
```

## LiPuPt2 (GGA-PBE)

Data for LiPuPt2 after structural relaxation.

Values from the calculation:
Energy relative to the elements   -2.276 eV/f.u.
Space-group type   P4/mmm
Magnetic moment   5.33 Bohr magnetons per cell
Density of states at the Fermi level   7.871 states/eV/f.u.
Calculated density   14408 kg/m3

```
data_LiPuPt2
_space_group_name_H-M_alt 'P 1'
_space_group_IT_number 1
_cell_length_a 2.918
_cell_length_b 5.032
_cell_length_c 5.032
_cell_angle_alpha 90.00
_cell_angle_beta 90.00
_cell_angle_gamma 90.00
loop_
_space_group_symop_operation_xyz
'x,y,z'
loop_
_atom_site_label
_atom_site_fract_x
_atom_site_fract_y
_atom_site_fract_z
Li1 0.500 0.000 0.000
Pt1 0.000 0.000 0.500
Pt2 0.000 0.500 0.000
Pu1 0.500 0.500 0.500
```